## Pm3Ru2Au (GGA-PBE)

Data for a relaxed Pm3Ru2Au crystal.

Energy (eV/cell): -38.532
Formation enthalpy at 0 K (eV/atom): -0.4085
Crystal system: tetragonal

a b c (Å): 3.490 3.490 11.109
angles (deg): 90.00 90.00 90.00
Sites, in units of the cell vectors:
Ru (0.500, 0.500, 0.836)
Pm (0.000, 0.000, 0.315)
Ru (0.500, 0.500, 0.164)
Pm (0.000, 0.000, 0.685)
Au (0.500, 0.500, 0.500)
Pm (0.000, 0.000, 0.000)